[1]
{
  "formula": "Pr4Mg5Cd2",
  "functional": "PBE-GGA",
  "state": "relaxed",
  "lattice": [[3.466, 0.000, 0.000], [0.000, 8.307, -0.005], [0.000, -0.811, 10.882]],
  "species": ["Mg", "Mg", "Mg", "Mg", "Mg", "Pr", "Pr", "Pr", "Pr", "Cd", "Cd"],
  "frac_coords": [[0.000, 0.430, 0.712], [0.000, 0.570, 0.288], [0.000, 0.500, 0.000], [0.000, 0.205, 0.168], [0.000, 0.795, 0.832], [0.500, 0.154, 0.885], [0.500, 0.846, 0.115], [0.500, 0.275, 0.447], [0.500, 0.725, 0.553], [0.000, 0.058, 0.636], [0.000, 0.942, 0.364]],
  "dos_ef_per_ev_atom": 0.9717,
  "rho_g_cm3": 4.8,
  "crystal_system": "monoclinic",
  "m_tot_mub_per_fu": 0.000,
  "final_energy_ev_per_atom": -2.745,
  "e_form_ev_per_atom": -0.12,
  "spacegroup": "P2/m (10)"
}

=====

[2]
{
  "formula": "Ce3PmY2S6",
  "functional": "PBE-GGA",
  "state": "relaxed",
  "lattice": [[-2.370, -2.893, 5.797], [6.610, 1.926, -0.445], [-2.988, 6.251, 0.528]],
  "species": ["Ce", "Ce", "Ce", "Y", "Y", "S", "S", "S", "S", "S", "S", "Pm"],
  "frac_coords": [[0.500, 0.500, 0.500], [0.836, 0.164, 0.500], [0.164, 0.836, 0.500], [0.667, 0.333, 0.000], [0.333, 0.667, 0.000], [0.579, 0.919, 0.757], [0.081, 0.421, 0.243], [0.919, 0.579, 0.757], [0.259, 0.259, 0.759], [0.421, 0.081, 0.243], [0.741, 0.741, 0.241], [0.000, 0.000, 0.000]],
  "formation_energy_uncorrected_ev_per_atom": -2.03,
  "dos_ef_per_ev_atom": 1.3826,
  "rho_g_cm3": 5.8,
  "crystal_system": "monoclinic",
  "m_tot_mub_per_fu": 2.538,
  "final_energy_ev_per_atom": -7.055,
  "spacegroup": "C2/m (12)"
}

=====

[3]
{
  "formula": "HfSnSeBr2",
  "functional": "PBE-GGA",
  "state": "relaxed",
  "lattice": [[5.469, 0.000, 0.000], [0.000, 5.469, 0.000], [0.000, 0.000, 5.508]],
  "species": ["Br", "Br", "Se", "Sn", "Hf"],
  "frac_coords": [[0.000, 0.500, 0.000], [0.500, 0.000, 0.000], [0.000, 0.000, 0.500], [0.000, 0.000, 0.000], [0.500, 0.500, 0.500]],
  "formation_energy_uncorrected_ev_per_atom": 0.49,
  "dos_ef_per_ev_atom": 1.3223,
  "rho_g_cm3": 5.4,
  "crystal_system": "tetragonal",
  "m_tot_mub_per_fu": 2.010,
  "final_energy_ev_per_atom": -3.669,
  "spacegroup": "P4/mmm (123)"
}

=====

[4]
{
  "formula": "Cr2CoHg",
  "functional": "PBE-GGA",
  "state": "relaxed",
  "lattice": [[-0.195, 2.939, -0.217], [-2.835, -0.247, -0.794], [-1.788, 0.344, 6.279]],
  "species": ["Co", "Cr", "Cr", "Hg"],
  "frac_coords": [[0.500, 0.500, 0.799], [0.000, 0.000, 0.992], [0.500, 0.500, 0.197], [0.000, 0.000, 0.512]],
  "dos_ef_per_ev_atom": 1.0587,
  "rho_g_cm3": 10.6,
  "crystal_system": "tetragonal",
  "m_tot_mub_per_fu": 1.508,
  "final_energy_ev_per_atom": -6.298,
  "e_form_ev_per_atom": 0.37,
  "spacegroup": "P4mm (99)"
}